Record 1
Below is AgS2Br after structural relaxation, with properties calculated at the PBE-GGA level.

Properties
**Total magnetization**: 0.000 μB/atom
**Density of states at the Fermi level**: 0.615 states/eV per atom
**Total energy**: -2.98 eV per atom
**Offset from the most stable computed form**: 0.0446 eV/atom

Structure (POSCAR):
```
AgS2Br
1.0
2.2604 0.0000 7.3633
-1.1302 1.9576 7.3633
-1.1302 -1.9576 7.3633
Ag Br S
1 1 2
direct
0.5000 0.5000 0.5000 Ag
0.0000 0.0000 0.0000 Br
0.8894 0.8894 0.8894 S
0.1106 0.1106 0.1106 S
```


Record 2
Below is CePm2Co6 after structural relaxation, with properties calculated at the PBE-GGA level.

Properties
**ΔH_f (0 K)**: -0.10 eV per atom
**Total magnetization**: 0.347 μB/atom
**Density of states at the Fermi level**: 1.158 states/eV per atom
**Total energy**: -6.55 eV per atom

Structure (POSCAR):
```
CePm2Co6
1.0
4.0697 0.0000 0.0000
0.0000 5.8578 -3.3820
0.0000 0.0000 6.7640
Co Pm Ce
6 2 1
direct
0.5000 0.3319 0.3319 Co
0.5000 0.3319 0.0000 Co
0.5000 0.6681 0.6681 Co
0.5000 0.0000 0.3319 Co
0.5000 0.6681 0.0000 Co
0.5000 0.0000 0.6681 Co
0.0000 0.3333 0.6667 Pm
0.0000 0.6667 0.3333 Pm
0.0000 0.0000 0.0000 Ce
```